Record 1
DFT (PBE-GGA) results for Pr4Ga12Hg after structural relaxation.

```
17
Lattice="-4.491 4.491 4.491 4.491 -4.491 4.491 4.491 4.491 -4.491" Properties=species:S:1:pos:R:3 pbc="T T T"
Pr 2.246 2.246 -2.246
Pr 2.246 -2.246 2.246
Pr -2.246 2.246 2.246
Pr 2.246 2.246 2.246
Ga 2.838 0.000 0.000
Ga 6.145 0.000 0.000
Ga 4.491 2.246 0.000
Ga 4.491 0.000 2.246
Ga 0.000 2.838 0.000
Ga 0.000 0.000 2.838
Ga 2.246 4.491 0.000
Ga 2.246 0.000 4.491
Ga 0.000 6.145 0.000
Ga 0.000 0.000 6.145
Ga 0.000 4.491 2.246
Ga 0.000 2.246 4.491
Hg 0.000 0.000 0.000
```

Properties
Calculated formation energy   -49 kJ/mol of atoms
Volume   362.4 Å³/cell
Crystal system   cubic
Fermi-level density of states   0.523 states/eV/atom
Total moment   0.000 μB/atom

=====

Record 2
DFT (PBE-GGA) results for Pr3Ga3Hg after structural relaxation.

```
14
Lattice="5.657 -2.299 0.000 5.657 2.299 0.000 -5.194 0.000 13.962" Properties=species:S:1:pos:R:3 pbc="T T T"
Pr -1.614 0.000 5.262
Pr -3.596 0.000 12.921
Pr 1.553 0.000 3.068
Pr 4.568 0.000 10.894
Pr 9.717 0.000 1.041
Pr 7.735 0.000 8.700
Ga 1.892 0.000 6.384
Ga -0.335 0.000 12.915
Ga 1.337 0.000 10.825
Ga 4.783 0.000 3.137
Ga 6.455 0.000 1.047
Ga 4.229 0.000 7.579
Hg -0.248 0.000 8.481
Hg 6.368 0.000 5.482
```

Properties
Calculated formation energy   -54 kJ/mol of atoms
Volume   363.2 Å³/cell
Crystal system   monoclinic
Fermi-level density of states   0.826 states/eV/atom
Total moment   0.094 μB/atom

=====

Look up the total moment of the first one. 0.000 μB/atom

=====

What did the second record say?
DFT (PBE-GGA) results for Pr3Ga3Hg after structural relaxation.

```
14
Lattice="5.657 -2.299 0.000 5.657 2.299 0.000 -5.194 0.000 13.962" Properties=species:S:1:pos:R:3 pbc="T T T"
Pr -1.614 0.000 5.262
Pr -3.596 0.000 12.921
Pr 1.553 0.000 3.068
Pr 4.568 0.000 10.894
Pr 9.717 0.000 1.041
Pr 7.735 0.000 8.700
Ga 1.892 0.000 6.384
Ga -0.335 0.000 12.915
Ga 1.337 0.000 10.825
Ga 4.783 0.000 3.137
Ga 6.455 0.000 1.047
Ga 4.229 0.000 7.579
Hg -0.248 0.000 8.481
Hg 6.368 0.000 5.482
```

Properties
Calculated formation energy   -54 kJ/mol of atoms
Volume   363.2 Å³/cell
Crystal system   monoclinic
Fermi-level density of states   0.826 states/eV/atom
Total moment   0.094 μB/atom